CoPd3Pt12, relaxed, DFT GGA-PBE; energy relative to the elements = -0.047 eV/atom; V = 15.334 Å³ per atom; electronic total energy = -95.921 eV per cell
1.0
3.931 0.000 0.000
0.000 3.931 0.000
0.000 0.000 15.874
Co Pd Pt
1 3 12
Cartesian
0.000 0.000 0.000
0.000 0.000 3.914
0.000 0.000 7.937
0.000 0.000 11.960
0.000 1.966 1.895
0.000 1.966 5.930
0.000 1.966 9.944
0.000 1.966 13.979
1.966 0.000 1.895
1.966 0.000 5.930
1.966 0.000 9.944
1.966 0.000 13.979
1.966 1.966 0.000
1.966 1.966 3.915
1.966 1.966 7.937
1.966 1.966 11.959